Crystalline NaCr2O4 at its relaxed geometry. Source: the Alexandria database, functional PBE+U.

Unit cell a=6.1263 b=6.1263 c=6.1263 alpha=60.00 beta=60.00 gamma=60.00
Positions (direct):
1 Cr 0.1250 0.6250 0.6250
2 Cr 0.6250 0.1250 0.6250
3 Cr 0.6250 0.6250 0.6250
4 Cr 0.6250 0.6250 0.1250
5 O 0.3956 0.3956 0.8132
6 O 0.3956 0.3956 0.3956
7 O 0.8544 0.8544 0.8544
8 O 0.3956 0.8132 0.3956
9 O 0.8544 0.4368 0.8544
10 O 0.8132 0.3956 0.3956
11 O 0.4368 0.8544 0.8544
12 O 0.8544 0.8544 0.4368
13 Na 0.0000 0.0000 0.0000
14 Na 0.2500 0.2500 0.2500

Summary:
**ΔE to the lowest computed polymorph**: 0.055 eV per atom
**Crystal system**: cubic
**Theoretical density**: 3.90 Mg/m³
**M_tot**: 0.714 μB per atom